Sr2NiTeO6 | GGA+U | relaxed

Calculated values
- total energy (eV per atom) = -5.59
- magnetization (μB per cell) = 0.000
- relative energy among the computed polymorphs (eV per atom) = 0.2286

Cell: 6.301 6.301 6.301 Å, 128.51 128.11 76.13°
Sites, in units of the cell vectors:
O1 0.801 0.301 0.500
O2 0.757 0.244 0.001
O3 0.199 0.699 0.500
O4 0.243 0.756 0.999
O5 0.243 0.244 0.488
O6 0.757 0.756 0.512
Ni1 0.000 0.000 0.000
Sr1 0.691 0.691 0.000
Sr2 0.309 0.309 0.000
Te1 0.000 0.500 0.500